[1]
Compound: CaLaYLu
Source: Alexandria via LeMat-Bulk
Functional: PBE
Structure: optimized geometry

Cell lengths 5.809, 5.809, 5.809 Å; angles 60.00, 60.00, 60.00 degrees
Fractional positions:
Y: 0.750 0.750 0.750
Ca: 0.000 0.000 0.000
Lu: 0.500 0.500 0.500
La: 0.250 0.250 0.250

Computed properties:
Energy of formation from the pure elements ... 119 meV per atom
Crystal system ... cubic
Symmetry ... F-43m, No. 216



[2]
Compound: Nd5Y3Sc
Source: Alexandria via LeMat-Bulk
Functional: PBE
Structure: optimized geometry

Cell lengths 9.452, 9.452, 9.604 Å; angles 119.48, 119.48, 90.00 degrees
Fractional positions:
Nd: 0.062 0.562 0.730
Nd: 0.668 0.168 0.730
Nd: 0.168 0.062 0.730
Nd: 0.562 0.668 0.730
Nd: 0.938 0.438 0.270
Nd: 0.332 0.832 0.270
Nd: 0.832 0.938 0.270
Nd: 0.438 0.332 0.270
Nd: 0.500 0.500 0.000
Nd: 0.000 0.000 0.000
Y: 0.610 0.110 0.000
Y: 0.390 0.890 0.000
Y: 0.890 0.610 0.000
Y: 0.110 0.390 0.000
Y: 0.250 0.250 0.500
Y: 0.750 0.750 0.500
Sc: 0.750 0.250 0.500
Sc: 0.250 0.750 0.500

Computed properties:
Energy of formation from the pure elements ... 317 meV per atom
Crystal system ... tetragonal
Symmetry ... I4/mcm, No. 140



[3]
Compound: CaLaN
Source: Alexandria via LeMat-Bulk
Functional: PBE
Structure: optimized geometry

Cell lengths 3.946, 3.962, 6.971 Å; angles 74.24, 73.56, 60.13 degrees
Fractional positions:
Ca: 0.261 0.540 0.937
La: 0.750 0.015 0.485
N: 0.381 0.649 0.589

Computed properties:
Uncorrected formation energy ... -0.7999 eV per atom
Crystal system ... monoclinic
Energy relative to the lowest polymorph listed for this composition ... 48 meV per atom
Symmetry ... Cm, No. 8



[4]
Compound: ZrTl2Rh
Source: Alexandria via LeMat-Bulk
Functional: PBE
Structure: optimized geometry

Cell lengths 5.278, 5.278, 5.278 Å; angles 130.31, 130.31, 72.91 degrees
Fractional positions:
Rh: 0.750 0.250 0.500
Tl: 0.000 0.000 0.000
Tl: 0.250 0.750 0.500
Zr: 0.500 0.500 0.000

Computed properties:
Energy of formation from the pure elements ... 25 meV per atom
Crystal system ... tetragonal
Symmetry ... I-4m2, No. 119



[5]
Compound: Tb7Dy4Tm
Source: Alexandria via LeMat-Bulk
Functional: PBE
Structure: optimized geometry

Cell lengths 6.767, 6.464, 11.632 Å; angles 75.22, 50.81, 82.35 degrees
Fractional positions:
Tb: 0.804 0.513 0.948
Tb: 0.196 0.487 0.052
Tb: 0.060 0.313 0.641
Tb: 0.940 0.687 0.359
Tb: 0.283 0.807 0.614
Tb: 0.500 0.000 0.000
Tb: 0.717 0.193 0.386
Dy: 0.522 0.642 0.283
Dy: 0.478 0.358 0.717
Dy: 0.697 0.841 0.689
Dy: 0.303 0.159 0.311
Tm: 0.000 0.000 0.000

Computed properties:
Energy of formation from the pure elements ... 89 meV per atom
Crystal system ... triclinic
Symmetry ... P-1, No. 2



[6]
Compound: BaSiSn
Source: Alexandria via LeMat-Bulk
Functional: PBE
Structure: optimized geometry

Cell lengths 4.290, 9.950, 9.950 Å; angles 90.00, 90.00, 90.00 degrees
Fractional positions:
Si: 0.500 0.691 0.287
Si: 0.500 0.309 0.713
Si: 0.000 0.287 0.309
Si: 0.000 0.713 0.691
Sn: 0.500 0.781 0.549
Sn: 0.000 0.451 0.781
Sn: 0.000 0.549 0.219
Sn: 0.500 0.219 0.451
Ba: 0.500 0.303 0.060
Ba: 0.000 0.940 0.303
Ba: 0.000 0.060 0.697
Ba: 0.500 0.697 0.940

Computed properties:
Uncorrected formation energy ... -0.1896 eV per atom
Crystal system ... tetragonal
Symmetry ... P4_2/m, No. 84